Entry 1:
Density functional theory data (PBE) for an optimized crystal structure of LiPu2Pt2.

**DFT formation energy**: -3.13 eV per formula unit
**E above lowest polymorph**: 0 meV/atom
**Density**: 13.3 g/cm3
**Magnetization**: 21.91 Bohr magnetons per cell
**DOS at the Fermi energy**: 37.626 states/eV per cell
**Symmetry**: P4/mbm (127)
**Volume**: 220.5 Å³/cell

Structure (POSCAR):
```
LiPu2Pt2
1.0
7.575 0.000 0.000
0.000 7.575 0.000
0.000 0.000 3.842
Li Pu Pt
2 4 4
Direct
0.000 0.000 0.000
0.500 0.500 0.000
0.162 0.338 0.500
0.338 0.838 0.500
0.662 0.162 0.500
0.838 0.662 0.500
0.141 0.641 0.000
0.359 0.141 0.000
0.641 0.859 0.000
0.859 0.359 0.000
```

=====

Entry 2:
Density functional theory data (PBE) for an optimized crystal structure of Li2PuPt.

**DFT formation energy**: -0.24 eV per formula unit
**E above lowest polymorph**: 367 meV/atom
**Density**: 12.0 g/cm3
**Magnetization**: 1.30 Bohr magnetons per cell
**DOS at the Fermi energy**: 3.567 states/eV per cell
**Symmetry**: R-3m (166)
**Volume**: 62.8 Å³/cell

Structure (POSCAR):
```
Li2PuPt
1.0
1.339 0.773 10.117
-1.339 0.773 10.117
0.000 -1.546 10.117
Li Pu Pt
2 1 1
Direct
0.095 0.095 0.095
0.905 0.905 0.905
0.000 0.000 0.000
0.500 0.500 0.500
```

=====

Entry 3:
Density functional theory data (PBE) for an optimized crystal structure of LiPu2Pt2.

**DFT formation energy**: -0.14 eV per formula unit
**E above lowest polymorph**: 599 meV/atom
**Density**: 16.5 g/cm3
**Magnetization**: 0.03 Bohr magnetons per cell
**DOS at the Fermi energy**: 18.076 states/eV per cell
**Symmetry**: Ibam (72)
**Volume**: 177.6 Å³/cell

Structure (POSCAR):
```
LiPu2Pt2
1.0
-4.272 4.787 2.171
4.272 -4.787 2.171
4.272 4.787 -2.171
Li Pu Pt
2 4 4
Direct
0.250 0.250 0.000
0.750 0.750 0.000
0.056 0.635 0.691
0.444 0.135 0.579
0.556 0.865 0.421
0.944 0.365 0.309
0.235 0.881 0.116
0.265 0.381 0.645
0.735 0.619 0.355
0.765 0.119 0.884
```

=====

Entry 4:
Density functional theory data (PBE) for an optimized crystal structure of LiPu2Pt.

**DFT formation energy**: -0.88 eV per formula unit
**Density**: 12.9 g/cm3
**Magnetization**: 12.07 Bohr magnetons per cell
**DOS at the Fermi energy**: 15.745 states/eV per cell
**Symmetry**: P4/mmm (123)
**Volume**: 89.1 Å³/cell

Structure (POSCAR):
```
LiPu2Pt
1.0
3.791 0.000 0.000
0.000 3.791 0.000
0.000 0.000 6.196
Li Pu Pt
1 2 1
Direct
0.000 0.000 0.000
0.500 0.500 0.267
0.500 0.500 0.733
0.000 0.000 0.500
```

=====

Entry 5:
Density functional theory data (PBE) for an optimized crystal structure of Li3Pu2Pt2.

**DFT formation energy**: -0.77 eV per formula unit
**Density**: 11.9 g/cm3
**Magnetization**: 0.00 Bohr magnetons per cell
**DOS at the Fermi energy**: 7.097 states/eV per cell
**Symmetry**: C2/m (12)
**Volume**: 124.9 Å³/cell

Structure (POSCAR):
```
Li3Pu2Pt2
1.0
4.974 -1.565 0.000
4.974 1.565 0.000
-4.250 0.000 8.024
Li Pu Pt
3 2 2
Direct
0.000 0.000 0.000
0.122 0.122 0.465
0.878 0.878 0.535
0.316 0.316 0.102
0.684 0.684 0.898
0.359 0.359 0.757
0.641 0.641 0.243
```

=====

Entry 6:
Density functional theory data (PBE) for an optimized crystal structure of LiPuRuPt.

**DFT formation energy**: -1.36 eV per formula unit
**Density**: 13.5 g/cm3
**Magnetization**: 4.09 Bohr magnetons per cell
**DOS at the Fermi energy**: 2.682 states/eV per cell
**Symmetry**: F-43m (216)
**Volume**: 67.4 Å³/cell

Structure (POSCAR):
```
LiPuRuPt
1.0
0.000 3.231 3.231
3.231 0.000 3.231
3.231 3.231 0.000
Li Pu Ru Pt
1 1 1 1
Direct
0.000 0.000 0.000
0.500 0.500 0.500
0.250 0.250 0.250
0.750 0.750 0.750
```

=====

Entry 7:
Density functional theory data (PBE) for an optimized crystal structure of LiPuSbPt.

**Density**: 11.8 g/cm3
**Energy relative to the elements, uncorrected**: -0.5772 eV/atom
**Magnetization**: 5.80 Bohr magnetons per cell
**DOS at the Fermi energy**: 11.498 states/eV per cell
**Symmetry**: F-43m (216)
**Volume**: 80.0 Å³/cell

Structure (POSCAR):
```
LiPuSbPt
1.0
0.000 3.420 3.420
3.420 0.000 3.420
3.420 3.420 0.000
Li Pu Sb Pt
1 1 1 1
Direct
0.000 0.000 0.000
0.250 0.250 0.250
0.750 0.750 0.750
0.500 0.500 0.500
```

=====

Entry 8:
Density functional theory data (PBE) for an optimized crystal structure of LiPuSiPt2.

**Density**: 12.5 g/cm3
**Energy relative to the elements, uncorrected**: -0.7654 eV/atom
**Magnetization**: 5.45 Bohr magnetons per cell
**DOS at the Fermi energy**: 13.671 states/eV per cell
**Symmetry**: I-4m2 (119)
**Volume**: 88.7 Å³/cell

Structure (POSCAR):
```
LiPuSiPt2
1.0
-1.998 1.998 5.556
1.998 -1.998 5.556
1.998 1.998 -5.556
Li Pu Si Pt
1 1 1 2
Direct
0.000 0.000 0.000
0.750 0.250 0.500
0.500 0.500 0.000
0.129 0.629 0.500
0.371 0.871 0.500
```

=====

- Which formula does entry 6 have?
  LiPuRuPt

=====

- Which value of density does entry 2 give?
  12.0 g/cm3

=====

Please write out number 5 again, unchanged.
Density functional theory data (PBE) for an optimized crystal structure of Li3Pu2Pt2.

**DFT formation energy**: -0.77 eV per formula unit
**Density**: 11.9 g/cm3
**Magnetization**: 0.00 Bohr magnetons per cell
**DOS at the Fermi energy**: 7.097 states/eV per cell
**Symmetry**: C2/m (12)
**Volume**: 124.9 Å³/cell

Structure (POSCAR):
```
Li3Pu2Pt2
1.0
4.974 -1.565 0.000
4.974 1.565 0.000
-4.250 0.000 8.024
Li Pu Pt
3 2 2
Direct
0.000 0.000 0.000
0.122 0.122 0.465
0.878 0.878 0.535
0.316 0.316 0.102
0.684 0.684 0.898
0.359 0.359 0.757
0.641 0.641 0.243
```